--- P ---
As2OsSeBr PBE optimized geometry; density of states at the Fermi level = 5.14 states/eV per cell; M_tot = 2.40 μB per formula unit; volume = 25.25 Å³ per atom
1.0
5.081 0.000 0.000
0.000 5.081 0.000
0.000 0.000 4.891
As Os Se Br
2 1 1 1
Direct
0.000 0.500 0.000
0.500 0.000 0.000
0.000 0.000 0.500
0.500 0.500 0.000
0.500 0.500 0.500


--- Q ---
As2OsSeBr PBE optimized geometry; density of states at the Fermi level = 5.00 states/eV per cell; M_tot = 0.00 μB per formula unit; volume = 23.33 Å³ per atom
1.0
4.833 0.000 0.000
0.000 4.833 0.000
0.000 0.000 4.995
As Os Se Br
2 1 1 1
Direct
0.000 0.500 0.000
0.500 0.000 0.000
0.000 0.000 0.000
0.000 0.000 0.500
0.500 0.500 0.500


--- R ---
As2OsSeBr PBE optimized geometry; density of states at the Fermi level = 5.70 states/eV per cell; M_tot = 0.00 μB per formula unit; volume = 23.46 Å³ per atom
1.0
4.866 0.000 0.000
0.000 4.866 0.000
0.000 0.000 4.953
As Os Se Br
2 1 1 1
Direct
0.000 0.500 0.000
0.500 0.000 0.000
0.000 0.000 0.500
0.500 0.500 0.500
0.500 0.500 0.000


--- S ---
As2OsSeBr PBE optimized geometry; density of states at the Fermi level = 4.39 states/eV per cell; M_tot = 0.00 μB per formula unit; volume = 23.35 Å³ per atom
1.0
4.775 0.000 0.000
0.000 4.775 0.000
0.000 0.000 5.119
As Os Se Br
2 1 1 1
Direct
0.000 0.500 0.000
0.500 0.000 0.000
0.000 0.000 0.000
0.500 0.500 0.500
0.000 0.000 0.500


Most stable structure, least stable structure: Q, R.


--- P ---
SiAs2OsBr PBE optimized geometry; density of states at the Fermi level = 4.00 states/eV per cell; M_tot = 0.00 μB per formula unit; volume = 23.60 Å³ per atom
1.0
5.071 0.000 0.000
0.000 5.071 0.000
0.000 0.000 4.589
Si As Os Br
1 2 1 1
Direct
0.000 0.000 0.000
0.000 0.500 0.500
0.500 0.000 0.500
0.500 0.500 0.000
0.500 0.500 0.500


--- Q ---
SiAs2OsBr PBE optimized geometry; density of states at the Fermi level = 4.59 states/eV per cell; M_tot = 0.00 μB per formula unit; volume = 23.96 Å³ per atom
1.0
4.712 0.000 0.000
0.000 4.712 0.000
0.000 0.000 5.396
Si As Os Br
1 2 1 1
Direct
0.000 0.000 0.000
0.000 0.500 0.500
0.500 0.000 0.500
0.500 0.500 0.500
0.500 0.500 0.000


Most stable structure, least stable structure: Q, P.


--- P ---
TaAsOsBr2 PBE optimized geometry; density of states at the Fermi level = 4.77 states/eV per cell; M_tot = 2.98 μB per formula unit; volume = 24.26 Å³ per atom
1.0
5.076 0.000 0.000
0.000 5.076 0.000
0.000 0.000 4.708
Ta As Os Br
1 1 1 2
Direct
0.000 0.000 0.000
0.500 0.500 0.000
0.500 0.500 0.500
0.000 0.500 0.500
0.500 0.000 0.500


--- Q ---
TaAsOsBr2 PBE optimized geometry; density of states at the Fermi level = 6.15 states/eV per cell; M_tot = 4.01 μB per formula unit; volume = 26.10 Å³ per atom
1.0
5.023 0.000 0.000
0.000 5.023 0.000
0.000 0.000 5.172
Ta As Os Br
1 1 1 2
Direct
0.000 0.000 0.000
0.000 0.000 0.500
0.500 0.500 0.500
0.000 0.500 0.000
0.500 0.000 0.000


Most stable structure, least stable structure: Q, P.


--- P ---
TiAsOsBr2 PBE optimized geometry; density of states at the Fermi level = 8.27 states/eV per cell; M_tot = 0.03 μB per formula unit; volume = 25.09 Å³ per atom
1.0
5.181 0.000 0.000
0.000 5.181 0.000
0.000 0.000 4.672
Ti As Os Br
1 1 1 2
Direct
0.000 0.000 0.000
0.500 0.500 0.000
0.500 0.500 0.500
0.000 0.500 0.500
0.500 0.000 0.500


--- Q ---
TiAsOsBr2 PBE optimized geometry; density of states at the Fermi level = 5.71 states/eV per cell; M_tot = 4.09 μB per formula unit; volume = 25.00 Å³ per atom
1.0
4.864 0.000 0.000
0.000 4.864 0.000
0.000 0.000 5.283
Ti As Os Br
1 1 1 2
Direct
0.000 0.000 0.000
0.000 0.000 0.500
0.500 0.500 0.500
0.000 0.500 0.000
0.500 0.000 0.000


Most stable structure, least stable structure: P, Q.


--- P ---
TiAs2OsBr PBE optimized geometry; density of states at the Fermi level = 6.53 states/eV per cell; M_tot = 2.50 μB per formula unit; volume = 24.01 Å³ per atom
1.0
4.723 0.000 0.000
0.000 4.723 0.000
0.000 0.000 5.381
Ti As Os Br
1 2 1 1
Direct
0.000 0.000 0.000
0.000 0.500 0.500
0.500 0.000 0.500
0.500 0.500 0.500
0.500 0.500 0.000


--- Q ---
TiAs2OsBr PBE optimized geometry; density of states at the Fermi level = 5.40 states/eV per cell; M_tot = 3.34 μB per formula unit; volume = 23.41 Å³ per atom
1.0
4.950 0.000 0.000
0.000 4.950 0.000
0.000 0.000 4.777
Ti As Os Br
1 2 1 1
Direct
0.000 0.000 0.000
0.000 0.500 0.000
0.500 0.000 0.000
0.500 0.500 0.500
0.000 0.000 0.500


Most stable structure, least stable structure: P, Q.


--- P ---
TlAsOsBr2 PBE optimized geometry; density of states at the Fermi level = 3.54 states/eV per cell; M_tot = 0.00 μB per formula unit; volume = 27.36 Å³ per atom
1.0
5.417 0.000 0.000
0.000 5.417 0.000
0.000 0.000 4.663
Tl As Os Br
1 1 1 2
Direct
0.000 0.000 0.000
0.500 0.500 0.000
0.500 0.500 0.500
0.000 0.500 0.500
0.500 0.000 0.500


--- Q ---
TlAsOsBr2 PBE optimized geometry; density of states at the Fermi level = 5.38 states/eV per cell; M_tot = 3.10 μB per formula unit; volume = 34.66 Å³ per atom
1.0
5.599 0.000 0.000
0.000 5.599 0.000
0.000 0.000 5.529
Tl As Os Br
1 1 1 2
Direct
0.000 0.000 0.000
0.000 0.000 0.500
0.500 0.500 0.500
0.000 0.500 0.000
0.500 0.000 0.000


Most stable structure, least stable structure: P, Q.